Model 1:
Ba2Mo (PBE, relaxed); density of states at the Fermi level = 2.823 states/eV/cell
1.0
4.4304 0.0000 0.0000
-2.2152 3.8368 0.0000
0.0000 0.0000 8.2434
Mo Ba
1 2
Cartesian
0.0000 0.0000 0.0000
0.0000 2.5579 2.1030
2.2152 1.2789 6.1404

=====

Model 2:
Ba2Mo (PBE, relaxed); density of states at the Fermi level = 16.307 states/eV/cell
1.0
-3.0373 0.6604 -7.4256
6.9937 -2.5241 -3.0851
-2.5814 -7.6153 0.3786
Ba Mo
8 4
Cartesian
-2.3296 -2.4453 -6.6085
-2.3397 -6.7151 -6.9841
3.7046 -7.0338 -3.5235
1.7133 -8.0981 -7.1670
-0.3383 -1.3810 -2.9651
3.7147 -2.7639 -3.1479
1.7234 -3.8282 -6.7914
-0.3484 -5.6508 -3.3407
0.0000 0.0000 0.0000
2.2061 -5.0697 -1.3532
1.9782 -0.9319 -5.2553
-2.8093 -3.4775 -3.5235

=====

Need the numbers? Relative energies in meV per atom: model 1 13; model 2 0.

=====

Model 1:
Ba2Mo (PBE, relaxed); density of states at the Fermi level = 4.388 states/eV/cell
1.0
-4.8816 -2.9868 0.9553
-0.1924 -1.4790 -5.6071
2.0052 -3.0426 0.7337
Ba Mo
2 1
Cartesian
-1.4382 -3.0147 0.8445
0.9064 -2.2608 -2.4367
0.0000 0.0000 0.0000

=====

Model 2:
Ba2Mo (PBE, relaxed); density of states at the Fermi level = 7.307 states/eV/cell
1.0
2.9817 -5.1645 0.0000
2.9817 5.1645 0.0000
0.0000 0.0000 7.5947
Mo Ba
2 4
Cartesian
2.9817 1.7215 5.6960
2.9817 -1.7215 1.8987
0.0000 0.0000 3.7973
2.9817 -1.7215 5.6960
2.9817 1.7215 1.8987
0.0000 0.0000 0.0000

=====

Model 3:
Ba2Mo (PBE, relaxed); density of states at the Fermi level = 3.583 states/eV/cell
1.0
8.0619 0.0513 0.0000
6.0927 5.2798 0.0000
-7.0773 -2.6655 2.7935
Ba Mo
2 1
Cartesian
8.9662 3.3769 0.0000
5.1885 1.9541 0.0000
0.0000 0.0000 0.0000

=====

Need the numbers? Relative energies in meV per atom: model 1 110; model 2 96; model 3 0.

=====

Model 1:
Ba2Mo (PBE, relaxed); density of states at the Fermi level = 5.575 states/eV/cell
1.0
3.8503 0.0000 0.0000
0.0000 8.1060 0.0000
0.0000 0.0000 8.1943
Ba Mo
4 2
Cartesian
1.9252 5.7874 6.8451
0.0000 1.7344 5.4463
0.0000 6.3715 2.7480
1.9252 2.3186 1.3492
0.0000 0.0000 0.0000
1.9252 4.0530 4.0971

=====

Model 2:
Ba2Mo (PBE, relaxed); density of states at the Fermi level = 11.315 states/eV/cell
1.0
-4.5543 -7.3554 -3.4473
-0.8490 -8.3829 -3.9665
-0.6399 -5.0337 5.3945
Mo Ba
2 4
Cartesian
-5.6258 -17.5182 -5.4797
-0.4174 -3.2539 3.4604
-2.1784 -6.5994 -2.4857
-2.2604 -8.5672 0.8228
-3.7828 -12.2049 -2.8421
-3.8648 -14.1727 0.4664

=====

Model 3:
Ba2Mo (PBE, relaxed); density of states at the Fermi level = 13.238 states/eV/cell
1.0
-0.4227 -5.7609 -0.3234
5.4202 -0.0892 -5.4960
7.6097 -0.9806 7.5206
Ba Mo
8 4
Cartesian
4.0291 -1.8702 2.1730
6.1341 -2.2289 5.8117
8.5780 -4.9605 -0.4718
4.1050 -1.5753 -3.1785
8.0530 -2.1716 2.2817
8.5022 -5.2554 4.8796
6.4730 -4.6018 -4.1106
4.5541 -4.6592 -0.5806
5.8626 -4.9302 2.5359
10.9529 -5.2815 2.1403
1.6542 -1.5493 -0.4392
6.7446 -1.9006 -0.8348

=====

Need the numbers? Relative energies in meV per atom: model 1 461; model 2 0; model 3 396.

=====

Model 1:
BaMo2 (PBE, relaxed); density of states at the Fermi level = 3.161 states/eV/cell
1.0
-2.8808 -1.1717 -1.1659
1.2519 -1.1923 2.8359
-3.7399 5.3248 3.8896
Mo Ba
2 1
Cartesian
-2.3902 2.0387 3.8571
-2.9786 0.9220 1.7025
0.0000 0.0000 0.0000

=====

Model 2:
BaMo2 (PBE, relaxed); density of states at the Fermi level = 7.331 states/eV/cell
1.0
3.0184 -1.1856 -5.1267
2.3209 -1.6697 5.3502
-5.1294 -3.2015 -0.4894
Ba Mo
2 4
Cartesian
1.3348 -0.7138 0.0559
4.0045 -2.1415 0.1676
-1.5473 -3.1191 -2.8836
-1.3345 -2.3872 1.3830
1.7573 -2.9377 2.6177
1.5445 -3.6696 -1.6489

=====

Need the numbers? Relative energies in meV per atom: model 1 0; model 2 817.

=====

Model 1:
BaMo2 (PBE, relaxed); density of states at the Fermi level = 4.212 states/eV/cell
1.0
-0.3760 2.9759 -6.2776
3.1516 -0.2306 -6.1984
-2.9096 -3.0643 5.5272
Mo Ba
2 1
Cartesian
1.9757 1.9541 -8.8804
0.7999 0.7912 -3.5955
0.0000 0.0000 0.0000

=====

Model 2:
BaMo2 (PBE, relaxed); density of states at the Fermi level = 5.786 states/eV/cell
1.0
1.6765 5.6726 -0.0049
-1.6765 5.6726 -0.0049
0.0000 0.3390 8.4085
Mo Ba
4 2
Cartesian
0.0000 7.8444 1.7825
0.0000 5.3389 4.7319
0.0000 3.7359 2.7943
0.0000 0.6804 3.2035
0.0000 11.1195 8.3631
0.0000 8.2811 5.7206

=====

Model 3:
BaMo2 (PBE, relaxed); density of states at the Fermi level = 8.248 states/eV/cell
1.0
0.0000 4.0638 4.0638
4.0638 0.0000 4.0638
4.0638 4.0638 0.0000
Mo Ba
4 2
Cartesian
1.0160 1.0160 1.0160
3.0479 1.0160 3.0479
3.0479 3.0479 1.0160
1.0160 3.0479 3.0479
6.0958 6.0958 6.0958
4.0638 4.0638 4.0638

=====

Need the numbers? Relative energies in meV per atom: model 1 0; model 2 48; model 3 228.

=====

Model 1:
BaMo3 (PBE, relaxed); density of states at the Fermi level = 9.056 states/eV/cell
1.0
-1.2012 3.1671 2.6976
0.6604 -2.6271 3.3783
4.1075 1.3485 0.2457
Mo Ba
3 1
Cartesian
1.4532 2.2578 1.4717
2.3840 -0.6393 1.8120
-0.2704 0.2700 3.0380
0.0000 0.0000 0.0000

=====

Model 2:
BaMo3 (PBE, relaxed); density of states at the Fermi level = 5.586 states/eV/cell
1.0
9.9951 0.0133 0.0078
9.4959 3.1191 0.0078
9.4959 1.5261 2.7203
Ba Mo
1 3
Cartesian
0.0000 0.0000 0.0000
22.2901 3.5822 2.1038
14.4934 2.3292 1.3679
6.6968 1.0762 0.6321

=====

Need the numbers? Relative energies in meV per atom: model 1 849; model 2 0.

=====

Model 1:
BaMo3 (PBE, relaxed); density of states at the Fermi level = 2.828 states/eV/cell
1.0
2.9385 0.0071 0.0000
-1.0381 2.7491 0.0000
0.0000 0.0000 10.0527
Mo Ba
3 1
Cartesian
0.9502 1.3781 2.9992
0.9502 1.3781 7.0535
0.0000 0.0000 5.0264
0.0000 0.0000 0.0000

=====

Model 2:
BaMo3 (PBE, relaxed); density of states at the Fermi level = 5.414 states/eV/cell
1.0
3.9086 -5.7089 0.0000
3.9086 5.7089 0.0000
0.0000 0.0000 4.2229
Mo Ba
6 2
Cartesian
5.0475 -3.5359 1.0557
3.9086 4.9621 1.0557
5.0475 3.5359 3.1672
2.7697 -3.5359 1.0557
3.9086 -4.9621 3.1672
2.7697 3.5359 3.1672
3.9086 -1.2390 3.1672
3.9086 1.2390 1.0557

=====

Model 3:
BaMo3 (PBE, relaxed); density of states at the Fermi level = 7.772 states/eV/cell
1.0
5.4105 0.0000 0.0000
0.0000 5.4105 0.0000
0.0000 0.0000 5.4105
Mo Ba
6 2
Cartesian
0.0000 1.3526 2.7052
2.7052 0.0000 1.3526
0.0000 4.0579 2.7052
1.3526 2.7052 0.0000
2.7052 0.0000 4.0579
4.0579 2.7052 0.0000
0.0000 0.0000 0.0000
2.7052 2.7052 2.7052

=====

Model 4:
BaMo3 (PBE, relaxed); density of states at the Fermi level = 13.846 states/eV/cell
1.0
-4.1466 3.6811 3.0266
2.0749 -1.6229 4.8166
6.4717 7.5035 -0.2596
Mo Ba
12 4
Cartesian
-1.7378 2.0274 3.4593
-0.0141 3.4429 4.5434
-1.7676 4.8900 2.6577
1.0939 5.3105 3.3458
4.4141 6.1188 3.0402
6.0957 7.4621 0.9894
6.1676 4.6717 4.9258
6.1377 7.5343 4.1242
3.2641 4.1790 1.1029
1.1359 5.3827 6.4806
3.3061 4.2512 4.2378
-1.6957 2.0996 6.5942
2.1275 1.6376 5.7509
2.3465 7.9679 4.9441
2.2725 7.9241 1.8326
2.0534 1.5938 2.6394

=====

Need the numbers? Relative energies in meV per atom: model 1 0; model 2 217; model 3 743; model 4 238.

=====

Model 1:
BaMo3 (PBE, relaxed); density of states at the Fermi level = 3.463 states/eV/cell
1.0
4.8611 0.0002 0.0000
-0.0002 4.8611 0.0000
0.0000 0.0000 3.2420
Mo Ba
3 1
Cartesian
2.4304 2.4307 0.0000
2.4306 0.0001 1.6210
-0.0001 2.4306 1.6210
0.0000 0.0000 0.0000

=====

Model 2:
BaMo3 (PBE, relaxed); density of states at the Fermi level = 6.236 states/eV/cell
1.0
-2.4687 -2.0264 0.1768
2.0320 -2.4695 0.0695
0.2435 0.4367 8.4026
Ba Mo
1 3
Cartesian
0.0000 0.0000 0.0000
0.1217 0.2184 4.2013
-0.1388 -2.1053 2.8674
-0.0544 -1.9539 5.7815

=====

Need the numbers? Relative energies in meV per atom: model 1 598; model 2 0.

=====

Model 1:
BaMo3 (PBE, relaxed); density of states at the Fermi level = 16.584 states/eV/cell
1.0
7.0347 0.0000 0.0000
-3.5173 6.0922 0.0000
0.0000 0.0000 8.4593
Mo Ba
12 4
Cartesian
-1.7587 3.0461 0.0000
3.5173 0.0000 4.2296
0.0000 2.6136 6.3445
1.7587 3.0461 0.0000
3.5173 3.4786 2.1148
1.7587 3.0461 4.2296
1.2539 4.7854 6.3445
4.7712 1.3068 2.1148
2.2635 1.3068 2.1148
-1.2539 4.7854 6.3445
-1.7587 3.0461 4.2296
3.5173 0.0000 0.0000
3.5173 2.0307 6.3445
0.0000 4.0615 2.1148
0.0000 0.0000 4.2296
0.0000 0.0000 0.0000

=====

Model 2:
BaMo3 (PBE, relaxed); density of states at the Fermi level = 6.224 states/eV/cell
1.0
5.9555 -0.0063 -0.0016
2.5742 5.3704 0.0016
-3.3435 -4.1471 2.6627
Ba Mo
1 3
Cartesian
0.0000 0.0000 0.0000
3.0944 -0.9521 1.3306
4.2648 2.6820 0.0000
2.0918 2.1690 1.3322

=====

Need the numbers? Relative energies in meV per atom: model 1 28; model 2 0.

=====

Model 1:
BaMo3 (PBE, relaxed); density of states at the Fermi level = 6.676 states/eV/cell
1.0
5.0100 0.0000 0.0000
0.0000 5.0100 0.0000
0.0000 0.0000 5.0100
Mo Ba
3 1
Cartesian
0.0000 2.5050 0.0000
2.5050 0.0000 0.0000
0.0000 0.0000 2.5050
0.0000 0.0000 0.0000

=====

Model 2:
BaMo3 (PBE, relaxed); density of states at the Fermi level = 4.182 states/eV/cell
1.0
5.6324 0.0011 0.0037
-2.5672 5.0133 0.0037
-2.5672 -4.1998 2.7376
Ba Mo
1 3
Cartesian
0.0000 0.0000 0.0000
1.5326 -2.0994 1.3706
1.5326 2.5072 0.0037
-2.5672 0.4067 1.3706

=====

Need the numbers? Relative energies in meV per atom: model 1 2925; model 2 0.